Density functional theory data (GGA-PBE) for crystalline LaPr2Mg2In2 at its relaxed geometry.

Results
ΔH_f (0 K)	-0.278	eV per atom
size of the total moment	0.00	μB per formula unit
symmetry	R-3m

Structure (CIF):
```
data_LaPr2Mg2In2
_chemical_formula_sum 'La1 Pr2 Mg2 In2'
_symmetry_space_group_name_H-M 'P 1'
_symmetry_Int_Tables_number 1
_symmetry_space_group_name_Hall 'P 1'
_cell_length_a 5.0924
_cell_length_b 5.0924
_cell_length_c 9.6308
_cell_angle_alpha 74.67
_cell_angle_beta 74.67
_cell_angle_gamma 60.00
loop_
_atom_site_label
_atom_site_fract_x
_atom_site_fract_y
_atom_site_fract_z
La1 0.0000 0.0000 0.0000
Pr1 0.1302 0.1302 0.6095
Pr2 0.8698 0.8698 0.3905
Mg1 0.5974 0.5974 0.2079
Mg2 0.4026 0.4026 0.7921
In1 0.7365 0.7365 0.7905
In2 0.2635 0.2635 0.2095
```

Density functional theory data (GGA-PBE) for crystalline La2PrMg2In2 at its relaxed geometry.

Results
ΔH_f (0 K)	-0.290	eV per atom
size of the total moment	0.00	μB per formula unit
symmetry	R-3m

Structure (CIF):
```
data_La2PrMg2In2
_chemical_formula_sum 'La2 Pr1 Mg2 In2'
_symmetry_space_group_name_H-M 'P 1'
_symmetry_Int_Tables_number 1
_symmetry_space_group_name_Hall 'P 1'
_cell_length_a 5.0675
_cell_length_b 5.0675
_cell_length_c 9.6188
_cell_angle_alpha 74.73
_cell_angle_beta 74.73
_cell_angle_gamma 60.00
loop_
_atom_site_label
_atom_site_fract_x
_atom_site_fract_y
_atom_site_fract_z
La1 0.1322 0.1322 0.6033
La2 0.8678 0.8678 0.3967
Pr1 0.0000 0.0000 0.0000
Mg1 0.6002 0.6002 0.1993
Mg2 0.3998 0.3998 0.8007
In1 0.7344 0.7344 0.7969
In2 0.2656 0.2656 0.2031
```

Density functional theory data (GGA-PBE) for crystalline LaPrMgIn at its relaxed geometry.

Results
ΔH_f (0 K)	-0.334	eV per atom
size of the total moment	0.00	μB per formula unit
symmetry	F-43m

Structure (CIF):
```
data_LaPrMgIn
_chemical_formula_sum 'La1 Pr1 Mg1 In1'
_symmetry_space_group_name_H-M 'P 1'
_symmetry_Int_Tables_number 1
_symmetry_space_group_name_Hall 'P 1'
_cell_length_a 5.5534
_cell_length_b 5.5534
_cell_length_c 5.5534
_cell_angle_alpha 60.00
_cell_angle_beta 60.00
_cell_angle_gamma 60.00
loop_
_atom_site_label
_atom_site_fract_x
_atom_site_fract_y
_atom_site_fract_z
Pr1 0.2500 0.2500 0.2500
Mg1 0.0000 0.0000 0.0000
In1 0.5000 0.5000 0.5000
La1 0.7500 0.7500 0.7500
```

Density of states at the Fermi level, respectively: 0.706; 0.683; 1.043 states/eV/atom.